Pr3In7Pd4: optimized geometry, PBE-GGA.

Properties
Its volume is 23.3 Å³ per atom. The formation energy comes out at -0.63 eV/atom. The total energy comes out at -63.0 eV for the cell shown.

Cell and atoms, written as extended XYZ:
```
14
Lattice="8.477 -2.286 0.000 8.477 2.286 0.000 -5.687 0.000 8.404" Properties=species:S:1:pos:R:3 pbc="T T T"
Pr 0.000 0.000 0.000
Pr 3.534 0.000 2.560
Pr 7.732 0.000 5.844
In -2.844 0.000 4.202
In 0.287 0.000 3.598
In -0.134 0.000 8.136
In 4.340 0.000 6.021
In 6.927 0.000 2.383
In 11.401 0.000 0.269
In 10.980 0.000 4.807
Pd -2.770 0.000 7.090
Pd 1.629 0.000 6.081
Pd 9.638 0.000 2.323
Pd 14.036 0.000 1.315
```

---

LaHfPCl2: optimized geometry, PBE-GGA.

Properties
Its volume is 33.5 Å³ per atom. For the formation energy from raw total energies, the calculation gives -197 meV per atom. The energy above the lowest structure with this stoichiometry comes out at 83.3 kJ per mole of atoms. The total energy comes out at -25.0 eV for the cell shown.

Cell and atoms, written as extended XYZ:
```
5
Lattice="5.285 0.000 0.000 0.000 5.285 0.000 0.000 0.000 5.998" Properties=species:S:1:pos:R:3 pbc="T T T"
La 0.000 0.000 0.000
Hf 2.643 2.643 2.999
P 0.000 0.000 2.999
Cl 0.000 2.643 0.000
Cl 2.643 0.000 0.000
```

---

PuTiZnTc: optimized geometry, PBE-GGA.

Properties
Its volume is 17.9 Å³ per atom. The formation energy comes out at 0.02 eV/atom. The total energy comes out at -33.8 eV for the cell shown.

Cell and atoms, written as extended XYZ:
```
4
Lattice="0.000 3.296 3.296 3.296 0.000 3.296 3.296 3.296 0.000" Properties=species:S:1:pos:R:3 pbc="T T T"
Pu 0.000 0.000 0.000
Ti 3.296 3.296 3.296
Zn 4.944 4.944 4.944
Tc 1.648 1.648 1.648
```

---

SrTl3Ga: optimized geometry, PBE-GGA.

Properties
Its volume is 34.1 Å³ per atom. The formation energy comes out at -0.01 eV/atom. The energy above the lowest structure with this stoichiometry comes out at 0.0 kJ per mole of atoms. The total energy comes out at -11.9 eV for the cell shown.

Cell and atoms, written as extended XYZ:
```
5
Lattice="5.543 0.000 0.000 0.000 5.543 0.000 0.000 0.000 5.543" Properties=species:S:1:pos:R:3 pbc="T T T"
Sr 0.000 0.000 0.000
Tl 0.000 2.771 2.771
Tl 2.771 0.000 2.771
Tl 2.771 2.771 0.000
Ga 2.771 2.771 2.771
```

---

Ho2ErSb2: optimized geometry, PBE-GGA.

Properties
Its volume is 30.0 Å³ per atom. For the formation energy from raw total energies, the calculation gives -769 meV per atom. The total energy comes out at -51.6 eV for the cell shown.

Cell and atoms, written as extended XYZ:
```
10
Lattice="-4.190 5.760 3.107 4.190 -5.760 3.107 4.190 5.760 -3.107" Properties=species:S:1:pos:R:3 pbc="T T T"
Ho 1.220 1.772 0.000
Ho 5.410 3.988 0.000
Ho -1.220 1.772 3.107
Ho 2.969 3.988 3.107
Er 4.190 0.000 1.553
Er 0.000 5.760 1.553
Sb 6.605 1.243 0.000
Sb 2.415 4.516 0.000
Sb 1.775 1.243 3.107
Sb -2.415 4.516 3.107
```

---

LiTcPt2: optimized geometry, PBE-GGA.

Properties
Its volume is 14.7 Å³ per atom. The formation energy comes out at -0.11 eV/atom. The energy above the lowest structure with this stoichiometry comes out at 22.3 kJ per mole of atoms. The total energy comes out at -24.8 eV for the cell shown.

Cell and atoms, written as extended XYZ:
```
4
Lattice="3.930 0.000 0.000 0.000 3.930 0.000 0.000 0.000 3.797" Properties=species:S:1:pos:R:3 pbc="T T T"
Li 0.000 0.000 0.000
Tc 1.965 1.965 0.000
Pt 0.000 1.965 1.898
Pt 1.965 0.000 1.898
```

---

PrAlPd: optimized geometry, PBE-GGA.

Properties
Its volume is 21.7 Å³ per atom. The formation energy comes out at -0.78 eV/atom. The total energy comes out at -96.3 eV for the cell shown.

Cell and atoms, written as extended XYZ:
```
18
Lattice="7.197 0.000 0.000 0.000 4.388 0.000 -0.486 0.000 12.382" Properties=species:S:1:pos:R:3 pbc="T T T"
Pr 0.004 1.097 4.612
Pr 1.046 1.097 1.002
Pr 3.054 3.291 8.765
Pr 3.657 1.097 3.617
Pr 5.665 3.291 11.380
Pr 6.707 3.291 7.770
Al 0.684 1.097 9.928
Al 2.335 3.291 5.674
Al 3.527 3.291 1.016
Al 3.183 1.097 11.366
Al 4.376 1.097 6.708
Al 6.027 3.291 2.454
Pd 1.570 3.291 3.018
Pd 1.730 1.097 7.068
Pd 1.594 3.291 11.235
Pd 5.117 1.097 1.147
Pd 4.981 3.291 5.314
Pd 5.141 1.097 9.364
```

---

CeFe2C3: optimized geometry, PBE-GGA.

Properties
Its volume is 11.8 Å³ per atom. The formation energy comes out at -0.09 eV/atom. The total energy comes out at -102.1 eV for the cell shown.

Cell and atoms, written as extended XYZ:
```
12
Lattice="3.247 -4.488 0.000 3.247 4.488 0.000 0.000 0.000 4.845" Properties=species:S:1:pos:R:3 pbc="T T T"
Ce 3.247 2.602 3.634
Ce 3.247 -2.602 1.211
Fe 2.021 0.000 0.000
Fe 2.021 0.000 2.422
Fe 4.474 0.000 0.000
Fe 4.474 0.000 2.422
C 0.695 0.668 3.634
C 0.695 -0.668 1.211
C 3.247 0.769 1.211
C 3.247 -0.769 3.634
C 5.800 0.668 3.634
C 5.800 -0.668 1.211
```

---

SrInBi2W: optimized geometry, PBE-GGA.

Properties
Its volume is 43.2 Å³ per atom. The formation energy comes out at 1.70 eV/atom. The total energy comes out at -16.7 eV for the cell shown.

Cell and atoms, written as extended XYZ:
```
5
Lattice="6.084 0.000 0.000 0.000 6.084 0.000 0.000 0.000 5.841" Properties=species:S:1:pos:R:3 pbc="T T T"
Sr 0.000 0.000 0.000
In 3.042 3.042 2.921
Bi 0.000 3.042 0.000
Bi 3.042 0.000 0.000
W 0.000 0.000 2.921
```

---

Tl2GaBi2: optimized geometry, PBE-GGA.

Properties
Its volume is 32.0 Å³ per atom. The formation energy comes out at 0.02 eV/atom. The energy above the lowest structure with this stoichiometry comes out at 0.0 kJ per mole of atoms. The total energy comes out at -30.8 eV for the cell shown.

Cell and atoms, written as extended XYZ:
```
10
Lattice="5.756 -2.696 0.000 5.756 2.696 0.000 -5.504 0.000 10.323" Properties=species:S:1:pos:R:3 pbc="T T T"
Tl -0.947 0.000 2.014
Tl -1.315 0.000 6.311
Tl 7.323 0.000 4.013
Tl 6.955 0.000 8.309
Ga 2.092 0.000 1.654
Ga 3.916 0.000 8.669
Bi -1.275 0.000 9.909
Bi 2.097 0.000 6.431
Bi 3.911 0.000 3.893
Bi 7.282 0.000 0.414
```

---

RbScGe: optimized geometry, PBE-GGA.

Properties
Its volume is 28.8 Å³ per atom. The formation energy comes out at -0.15 eV/atom. The energy above the lowest structure with this stoichiometry comes out at 20.5 kJ per mole of atoms. The total energy comes out at -49.4 eV for the cell shown.

Cell and atoms, written as extended XYZ:
```
12
Lattice="8.797 0.000 0.000 0.000 4.957 0.000 0.000 0.000 7.927" Properties=species:S:1:pos:R:3 pbc="T T T"
Rb 0.036 1.239 1.138
Rb 4.363 3.718 5.101
Rb 4.434 1.239 2.826
Rb 8.762 3.718 6.789
Sc 1.196 3.718 3.385
Sc 3.202 1.239 7.348
Sc 5.595 3.718 0.579
Sc 7.601 1.239 4.542
Ge 1.531 1.239 4.880
Ge 2.868 3.718 0.916
Ge 5.929 1.239 7.011
Ge 7.266 3.718 3.047
```

---

CaGdLu2: optimized geometry, PBE-GGA.

Properties
Its volume is 32.4 Å³ per atom. The formation energy comes out at 0.18 eV/atom. The energy above the lowest structure with this stoichiometry comes out at 2.5 kJ per mole of atoms. The total energy comes out at -24.4 eV for the cell shown.

Cell and atoms, written as extended XYZ:
```
4
Lattice="0.000 4.016 4.016 4.016 0.000 4.016 4.016 4.016 0.000" Properties=species:S:1:pos:R:3 pbc="T T T"
Ca 0.000 0.000 0.000
Gd 4.016 4.016 4.016
Lu 2.008 2.008 2.008
Lu 6.024 6.024 6.024
```